# Be2TcIr

A relaxed structure of Be2TcIr (PBE, Alexandria).

Results
calculated formation energy = -1.23 eV/f.u.
distance to the lowest polymorph of the same formula = 35 meV/atom

Lattice parameters (Å, degrees): 2.7849 2.7849 5.7779 90.00 90.00 90.00
With the nearest neighbours (Å) after each atom.
Space group P4/mmm (No. 123)
Inequivalent atoms, fractional coordinates:
Be1 0.0000 0.0000 0.2263 (multiplicity 2)  4 Ir 2.36, 4 Tc 2.53, 1 Be 2.61
Tc1 0.5000 0.5000 0.5000 (multiplicity 1)  8 Be 2.53, 4 Tc 2.78
Ir1 0.5000 0.5000 0.0000 (multiplicity 1)  8 Be 2.36